<P>
Here is a geometry-optimized CoTeIr2 structure from the Alexandria database. Energies are from PBEsol.

Computed properties:
- DOS(E_F): 4.63 states/eV per cell
- Volume: 15.5 Å³ per atom

Cell: 8.7312 8.7312 8.7312 Å, 19.06 19.06 19.06°
Fractional coordinates of all 4 atoms:
1 Co 0.0000 0.0000 0.0000
2 Te 0.5000 0.5000 0.5000
3 Ir 0.2574 0.2574 0.2574
4 Ir 0.7426 0.7426 0.7426

=====

<Q>
Here is a geometry-optimized CoTeIr2 structure from the Alexandria database. Energies are from PBEsol.

Computed properties:
- DOS(E_F): 3.24 states/eV per cell
- Volume: 14.6 Å³ per atom

Cell: 3.9021 3.9021 3.8228 Å, 90.00 90.00 90.00°
Fractional coordinates of all 4 atoms:
1 Co 0.0000 0.0000 0.0000
2 Te 0.5000 0.5000 0.0000
3 Ir 0.0000 0.5000 0.5000
4 Ir 0.5000 0.0000 0.5000

=====

Q: Which of them is the least stable? A: <P>.

=====

<P>
Here is a geometry-optimized TlCoIr2 structure from the Alexandria database. Energies are from PBEsol.

Computed properties:
- DOS(E_F): 6.64 states/eV per cell
- Volume: 15.1 Å³ per atom

Cell: 4.4080 4.4080 4.4080 Å, 60.00 60.00 60.00°
Fractional coordinates of all 4 atoms:
1 Tl 0.0000 0.0000 0.0000
2 Co 0.7500 0.7500 0.7500
3 Ir 0.2500 0.2500 0.2500
4 Ir 0.5000 0.5000 0.5000

=====

<Q>
Here is a geometry-optimized TlCoIr2 structure from the Alexandria database. Energies are from PBEsol.

Computed properties:
- DOS(E_F): 5.73 states/eV per cell
- Volume: 15.2 Å³ per atom

Cell: 2.7926 4.5516 4.7836 Å, 90.00 91.28 90.00°
Fractional coordinates of all 4 atoms:
1 Tl 0.0000 0.0000 0.0000
2 Co 0.5000 0.0000 0.5000
3 Ir 0.2662 0.5000 0.7289
4 Ir 0.7338 0.5000 0.2711

=====

Q: Which of them is the least stable? A: <P>.

=====

<P>
Here is a geometry-optimized CoIrW2 structure from the Alexandria database. Energies are from PBEsol.

Computed properties:
- DOS(E_F): 3.22 states/eV per cell
- Volume: 13.9 Å³ per atom

Cell: 2.7142 4.3414 4.7106 Å, 90.00 90.00 90.00°
Fractional coordinates of all 4 atoms:
1 Co 0.0000 0.0000 0.0000
2 Ir 0.0000 0.5000 0.6515
3 W 0.5000 0.0000 0.4881
4 W 0.5000 0.5000 0.1369

=====

<Q>
Here is a geometry-optimized CoIrW2 structure from the Alexandria database. Energies are from PBEsol.

Computed properties:
- DOS(E_F): 4.77 states/eV per cell
- Volume: 14.0 Å³ per atom

Cell: 4.2973 4.2973 4.2973 Å, 60.00 60.00 60.00°
Fractional coordinates of all 4 atoms:
1 Co 0.0000 0.0000 0.0000
2 Ir 0.7500 0.7500 0.7500
3 W 0.2500 0.2500 0.2500
4 W 0.5000 0.5000 0.5000

=====

<R>
Here is a geometry-optimized CoIrW2 structure from the Alexandria database. Energies are from PBEsol.

Computed properties:
- DOS(E_F): 1.93 states/eV per cell
- Volume: 13.8 Å³ per atom

Cell: 4.6710 4.6710 4.6710 Å, 131.99 131.99 70.25°
Fractional coordinates of all 4 atoms:
1 Co 0.0000 0.0000 0.0000
2 Ir 0.5000 0.5000 0.0000
3 W 0.2500 0.7500 0.5000
4 W 0.7500 0.2500 0.5000

=====

<S>
Here is a geometry-optimized CoIrW2 structure from the Alexandria database. Energies are from PBEsol.

Computed properties:
- DOS(E_F): 2.14 states/eV per cell
- Volume: 13.8 Å³ per atom

Cell: 2.7120 3.7991 5.3749 Å, 90.00 90.00 90.00°
Fractional coordinates of all 4 atoms:
1 Co 0.0000 0.0000 0.0000
2 Ir 0.0000 0.0000 0.5000
3 W 0.5000 0.5000 0.2419
4 W 0.5000 0.5000 0.7581

=====

Q: Which of them is the least stable? A: <Q>.

=====

<P>
Here is a geometry-optimized CoIrW2 structure from the Alexandria database. Energies are from PBEsol.

Computed properties:
- DOS(E_F): 2.00 states/eV per cell
- Volume: 13.8 Å³ per atom

Cell: 3.8003 3.8003 3.8218 Å, 90.00 90.00 90.00°
Fractional coordinates of all 4 atoms:
1 Co 0.0000 0.0000 0.0000
2 Ir 0.5000 0.5000 0.0000
3 W 0.0000 0.5000 0.5000
4 W 0.5000 0.0000 0.5000

=====

<Q>
Here is a geometry-optimized CoIrW2 structure from the Alexandria database. Energies are from PBEsol.

Computed properties:
- DOS(E_F): 1.61 states/eV per cell
- Volume: 13.9 Å³ per atom

Cell: 4.6689 4.6689 2.7037 Å, 90.00 90.00 109.76°
Fractional coordinates of all 4 atoms:
1 Co 0.0000 0.0000 0.0000
2 Ir 0.5000 0.5000 0.0000
3 W 0.0000 0.5000 0.5000
4 W 0.5000 0.0000 0.5000

=====

Q: Which of them is the least stable? A: <Q>.

=====

<P>
Here is a geometry-optimized KCo structure from the Alexandria database. Energies are from PBEsol.

Computed properties:
- DOS(E_F): 3.26 states/eV per cell
- Volume: 29.4 Å³ per atom

Cell: 3.8222 3.8222 9.4746 Å, 99.28 99.28 59.92°
Fractional coordinates of all 4 atoms:
1 K 0.0697 0.0697 0.2628
2 K 0.9303 0.9303 0.7372
3 Co 0.3334 0.3334 0.0000
4 Co 0.6666 0.6666 0.0000

=====

<Q>
Here is a geometry-optimized KCo structure from the Alexandria database. Energies are from PBEsol.

Computed properties:
- DOS(E_F): 4.10 states/eV per cell
- Volume: 21.3 Å³ per atom

Cell: 4.9363 4.9363 4.9363 Å, 60.00 60.00 60.00°
Fractional coordinates of all 4 atoms:
1 K 0.1250 0.1250 0.1250
2 K 0.8750 0.8750 0.8750
3 Co 0.3750 0.3750 0.3750
4 Co 0.6250 0.6250 0.6250

=====

<R>
Here is a geometry-optimized KCo structure from the Alexandria database. Energies are from PBEsol.

Computed properties:
- DOS(E_F): 2.49 states/eV per cell
- Volume: 25.7 Å³ per atom

Cell: 3.2375 3.2375 9.8177 Å, 90.00 90.00 90.00°
Fractional coordinates of all 4 atoms:
1 K 0.2500 0.2500 0.2178
2 K 0.7500 0.7500 0.7822
3 Co 0.2500 0.2500 0.5230
4 Co 0.7500 0.7500 0.4770

=====

Q: Which of them is the least stable? A: <Q>.

=====

<P>
Here is a geometry-optimized KMg2Co structure from the Alexandria database. Energies are from PBEsol.

Computed properties:
- DOS(E_F): 5.71 states/eV per cell
- Volume: 22.9 Å³ per atom

Cell: 5.2897 5.2897 5.2897 Å, 127.00 127.00 78.25°
Fractional coordinates of all 4 atoms:
1 K 0.0000 0.0000 0.0000
2 Mg 0.5000 0.5000 0.0000
3 Mg 0.7500 0.2500 0.5000
4 Co 0.2500 0.7500 0.5000

=====

<Q>
Here is a geometry-optimized KMg2Co structure from the Alexandria database. Energies are from PBEsol.

Computed properties:
- DOS(E_F): 9.18 states/eV per cell
- Volume: 34.2 Å³ per atom

Cell: 9.0803 9.0803 9.0803 Å, 142.64 142.64 53.87°
Fractional coordinates of all 8 atoms:
1 K 0.3750 0.6250 0.7500
2 K 0.6250 0.3750 0.2500
3 Mg 0.0000 0.0000 0.0000
4 Mg 0.0000 0.0000 0.5000
5 Mg 0.0000 0.5000 0.0000
6 Mg 0.5000 0.0000 0.5000
7 Co 0.1250 0.8750 0.2500
8 Co 0.8750 0.1250 0.7500

=====

Q: Which of them is the least stable? A: <Q>.

=====

<P>
Here is a geometry-optimized K2MnCo structure from the Alexandria database. Energies are from PBEsol.

Computed properties:
- DOS(E_F): 4.26 states/eV per cell
- Volume: 23.5 Å³ per atom

Cell: 3.0485 5.4247 5.6905 Å, 90.00 90.00 90.00°
Fractional coordinates of all 4 atoms:
1 K 0.0000 0.0000 0.2444
2 K 0.0000 0.0000 0.7556
3 Mn 0.5000 0.5000 0.5000
4 Co 0.5000 0.5000 0.0000

=====

<Q>
Here is a geometry-optimized K2MnCo structure from the Alexandria database. Energies are from PBEsol.

Computed properties:
- DOS(E_F): 8.34 states/eV per cell
- Volume: 29.4 Å³ per atom

Cell: 5.4998 5.4998 5.4998 Å, 60.00 60.00 60.00°
Fractional coordinates of all 4 atoms:
1 K 0.2500 0.2500 0.2500
2 K 0.7500 0.7500 0.7500
3 Mn 0.0000 0.0000 0.0000
4 Co 0.5000 0.5000 0.5000

=====

Q: Which of them is the least stable? A: <Q>.

=====

<P>
Here is a geometry-optimized K2MnCo structure from the Alexandria database. Energies are from PBEsol.

Computed properties:
- DOS(E_F): 3.40 states/eV per cell
- Volume: 26.7 Å³ per atom

Cell: 3.2717 3.2717 9.9761 Å, 90.00 90.00 90.00°
Fractional coordinates of all 4 atoms:
1 K 0.0000 0.0000 0.0000
2 K 0.5000 0.5000 0.4205
3 Mn 0.0000 0.0000 0.6843
4 Co 0.5000 0.5000 0.7439

=====

<Q>
Here is a geometry-optimized K2MnCo structure from the Alexandria database. Energies are from PBEsol.

Computed properties:
- DOS(E_F): 4.71 states/eV per cell
- Volume: 23.2 Å³ per atom

Cell: 6.1604 6.1604 2.9888 Å, 90.00 90.00 125.17°
Fractional coordinates of all 4 atoms:
1 K 0.0000 0.5000 0.0000
2 K 0.5000 0.0000 0.0000
3 Mn 0.0000 0.0000 0.5000
4 Co 0.5000 0.5000 0.5000

=====

Q: Which of them is the least stable? A: <Q>.

=====

<P>
Here is a geometry-optimized KMnCo2 structure from the Alexandria database. Energies are from PBEsol.

Computed properties:
- DOS(E_F): 5.05 states/eV per cell
- Volume: 15.6 Å³ per atom

Cell: 2.8527 2.8527 7.6562 Å, 90.00 90.00 90.00°
Fractional coordinates of all 4 atoms:
1 K 0.0000 0.0000 0.0000
2 Mn 0.0000 0.0000 0.5000
3 Co 0.5000 0.5000 0.3404
4 Co 0.5000 0.5000 0.6596

=====

<Q>
Here is a geometry-optimized KMnCo2 structure from the Alexandria database. Energies are from PBEsol.

Computed properties:
- DOS(E_F): 4.21 states/eV per cell
- Volume: 14.7 Å³ per atom

Cell: 4.3664 4.3664 4.3664 Å, 60.00 60.00 60.00°
Fractional coordinates of all 4 atoms:
1 K 0.0000 0.0000 0.0000
2 Mn 0.5000 0.5000 0.5000
3 Co 0.2500 0.2500 0.2500
4 Co 0.7500 0.7500 0.7500

=====

Q: Which of them is the least stable? A: <Q>.

=====

<P>
Here is a geometry-optimized KCoMo2 structure from the Alexandria database. Energies are from PBEsol.

Computed properties:
- DOS(E_F): 5.04 states/eV per cell
- Volume: 16.6 Å³ per atom

Cell: 5.4719 5.4719 5.4719 Å, 140.32 140.32 57.37°
Fractional coordinates of all 4 atoms:
1 K 0.0000 0.0000 0.0000
2 Co 0.5000 0.5000 0.0000
3 Mo 0.2500 0.7500 0.5000
4 Mo 0.7500 0.2500 0.5000

=====

<Q>
Here is a geometry-optimized KCoMo2 structure from the Alexandria database. Energies are from PBEsol.

Computed properties:
- DOS(E_F): 4.91 states/eV per cell
- Volume: 17.8 Å³ per atom

Cell: 5.5276 5.5276 5.5276 Å, 149.81 121.89 66.88°
Fractional coordinates of all 4 atoms:
1 K 0.0000 0.0000 0.0000
2 Co 0.7191 0.2191 0.5000
3 Mo 0.2974 0.7974 0.5000
4 Mo 0.5109 0.5109 0.0000

=====

<R>
Here is a geometry-optimized KCoMo2 structure from the Alexandria database. Energies are from PBEsol.

Computed properties:
- DOS(E_F): 4.39 states/eV per cell
- Volume: 19.5 Å³ per atom

Cell: 2.6710 3.5515 8.2344 Å, 90.00 90.00 90.00°
Fractional coordinates of all 4 atoms:
1 K 0.0000 0.0000 0.0000
2 Co 0.5000 0.5000 0.6841
3 Mo 0.0000 0.0000 0.5627
4 Mo 0.5000 0.5000 0.3660

=====

Q: Which of them is the least stable? A: <P>.

=====

<P>
Here is a geometry-optimized KCoS2N structure from the Alexandria database. Energies are from PBEsol.

Computed properties:
- DOS(E_F): 5.38 states/eV per cell
- Volume: 16.4 Å³ per atom

Cell: 4.9476 4.9476 3.3579 Å, 90.00 90.00 90.00°
Fractional coordinates of all 5 atoms:
1 K 0.0000 0.0000 0.0000
2 Co 0.5000 0.5000 0.5000
3 S 0.0000 0.5000 0.5000
4 S 0.5000 0.0000 0.5000
5 N 0.5000 0.5000 0.0000

=====

<Q>
Here is a geometry-optimized KCoS2N structure from the Alexandria database. Energies are from PBEsol.

Computed properties:
- DOS(E_F): 4.13 states/eV per cell
- Volume: 26.6 Å³ per atom

Cell: 5.3622 5.3622 4.6228 Å, 90.00 90.00 90.00°
Fractional coordinates of all 5 atoms:
1 K 0.0000 0.0000 0.0000
2 Co 0.5000 0.5000 0.5000
3 S 0.0000 0.5000 0.0000
4 S 0.5000 0.0000 0.0000
5 N 0.0000 0.0000 0.5000

=====

Q: Which of them is the least stable? A: <Q>.

=====

<P>
Here is a geometry-optimized KCo2Pt structure from the Alexandria database. Energies are from PBEsol.

Computed properties:
- DOS(E_F): 5.58 states/eV per cell
- Volume: 15.6 Å³ per atom

Cell: 4.7465 4.7465 4.7465 Å, 129.25 129.25 74.61°
Fractional coordinates of all 4 atoms:
1 K 0.0000 0.0000 0.0000
2 Co 0.2500 0.7500 0.5000
3 Co 0.5000 0.5000 0.0000
4 Pt 0.7500 0.2500 0.5000

=====

<Q>
Here is a geometry-optimized KCo2Pt structure from the Alexandria database. Energies are from PBEsol.

Computed properties:
- DOS(E_F): 6.18 states/eV per cell
- Volume: 14.9 Å³ per atom

Cell: 4.8638 4.8638 2.6201 Å, 90.00 90.00 105.92°
Fractional coordinates of all 4 atoms:
1 K 0.0000 0.0000 0.0000
2 Co 0.0000 0.5000 0.5000
3 Co 0.5000 0.0000 0.5000
4 Pt 0.5000 0.5000 0.0000

=====

Q: Which of them is the least stable? A: <P>.

=====

<P>
Here is a geometry-optimized KCoRe structure from the Alexandria database. Energies are from PBEsol.

Computed properties:
- DOS(E_F): 3.89 states/eV per cell
- Volume: 17.1 Å³ per atom

Cell: 4.8494 4.8494 2.5136 Å, 90.00 90.00 120.00°
Fractional coordinates of all 3 atoms:
1 K 0.0000 0.0000 0.0000
2 Co 0.6667 0.3333 0.4927
3 Re 0.3333 0.6667 0.5059

=====

<Q>
Here is a geometry-optimized KCoRe structure from the Alexandria database. Energies are from PBEsol.

Computed properties:
- DOS(E_F): 8.41 states/eV per cell
- Volume: 21.6 Å³ per atom

Cell: 4.5091 4.5091 4.5091 Å, 60.00 60.00 60.00°
Fractional coordinates of all 3 atoms:
1 K 0.0000 0.0000 0.0000
2 Co 0.7500 0.7500 0.7500
3 Re 0.2500 0.2500 0.2500

=====

Q: Which of them is the least stable? A: <Q>.